[1]
# Mg2CuBr

A relaxed Mg2CuBr crystal (PBE-GGA, Alexandria via LeMat-Bulk).

It has space group F-43m (No. 216), with a = 7.1018 Å, b = 7.1018 Å, c = 7.1018 Å, α = 90.00°, β = 90.00° and γ = 90.00°. The asymmetric unit holds Mg at (0.0000, 0.0000, 0.0000), Mg at (0.2500, 0.2500, 0.2500), Cu at (0.2500, 0.2500, 0.7500) and Br at (0.0000, 0.0000, 0.5000).

The polymorph energy (0 for the lowest one) is 0.653 eV/atom. The value obtained for the density of states at the Fermi level is 1.2 states/eV/f.u. As for the formation energy (no corrections): 0.310 eV per atom.

[2]
# TbPm3Zn4

A relaxed TbPm3Zn4 crystal (PBE-GGA, Alexandria via LeMat-Bulk).

It has space group R-3m (No. 166, hexagonal axes), with a = 5.1397 Å, b = 5.1397 Å, c = 25.2625 Å, α = 90.00°, β = 90.00° and γ = 120.00°. The asymmetric unit holds Tb at (0.0000, 0.0000, 0.0000), Pm at (0.0000, 0.0000, 0.2509), Pm at (0.0000, 0.0000, 0.5000), Zn at (0.0000, 0.0000, 0.1239) and Zn at (0.0000, 0.0000, 0.3739).

The value obtained for the density of states at the Fermi level is 8.9 states/eV/f.u. The value obtained for the formation energy is -7.41 kcal/mol of atoms.

[3]
# Cu2IrCl8

A relaxed Cu2IrCl8 crystal (PBE-GGA, Alexandria via LeMat-Bulk).

It has space group C2/m (No. 12), with a = 10.1759 Å, b = 10.0484 Å, c = 7.1353 Å, α = 90.00°, β = 114.31° and γ = 90.00°. The asymmetric unit holds Cu at (0.1546, 0.0000, 0.1418), Ir at (0.0000, 0.5000, 0.5000), Cl at (0.0440, 0.0000, 0.7979), Cl at (0.1029, 0.5000, 0.2693) and Cl at (0.1684, 0.3390, 0.6979).

The polymorph energy (0 for the lowest one) is 0.000 eV/atom. The value obtained for the density of states at the Fermi level is 9.8 states/eV/f.u. As for the formation energy (no corrections): -0.414 eV per atom.

[4]
# LaCr2Se

A relaxed LaCr2Se crystal (PBE-GGA, Alexandria via LeMat-Bulk).

It has space group Cmmm (No. 65), with a = 5.7365 Å, b = 6.1969 Å, c = 4.7012 Å, α = 90.00°, β = 90.00° and γ = 90.00°. The asymmetric unit holds La at (0.0000, 0.0000, 0.0000), Cr at (0.0000, 0.3469, 0.5000) and Se at (0.0000, 0.5000, 0.0000).

The value obtained for the density of states at the Fermi level is 4.6 states/eV/f.u. As for the formation energy (no corrections): 0.061 eV per atom.

| no. | calculated total energy (Ha/atom) |
| --- | --- |
| 1 | -0.0709 |
| 2 | -0.1220 |
| 3 | -0.1215 |
| 4 | -0.2519 |